# Be2NbCo (GGA-PBE, optimized geometry)
# Energy above the most stable polymorph in this dataset ... 0.112 eV/atom
# Energy of formation from the pure elements ... -42 kJ/mol of formula units
# Energy ... -75.20 eV for the cell shown
data_Be2NbCo
_chemical_formula_sum 'Be6 Nb3 Co3'
_cell_length_a 3.5575
_cell_length_b 3.5575
_cell_length_c 12.4296
_cell_angle_alpha 90.00
_cell_angle_beta 90.00
_cell_angle_gamma 120.00
_symmetry_space_group_name_H-M 'R -3 m'
_symmetry_Int_Tables_number 166
_symmetry_space_group_name_Hall '-R 3 2"'
loop_
_atom_site_label
_atom_site_type_symbol
_atom_site_fract_x
_atom_site_fract_y
_atom_site_fract_z
Be1 Be 0.0000 0.0000 0.2096
Nb1 Nb 0.0000 0.0000 0.0000
Co1 Co 0.0000 0.0000 0.5000